A relaxed structure of Tb4PrCd2. Source: Alexandria, functional GGA-PBE.

Cell: 10.883 10.883 10.883 Å, 27.10 27.10 27.10°
Fractional coordinates of all 7 atoms:
Tb1 0.106 0.106 0.106
Tb2 0.298 0.298 0.298
Tb3 0.702 0.702 0.702
Tb4 0.894 0.894 0.894
Pr1 0.500 0.500 0.500
Cd1 0.399 0.399 0.399
Cd2 0.601 0.601 0.601

N(E_F) = 12.19 states/eV/cell
Formation energy from the elements = 139 kJ/mol of formula units



A relaxed structure of Tb6Pr8Cd. Source: Alexandria, functional GGA-PBE.

Cell: 9.471 9.471 6.552 Å, 90.00 90.00 120.00°
Fractional coordinates of all 15 atoms:
Tb1 0.097 0.450 0.332
Tb2 0.352 0.903 0.332
Tb3 0.450 0.352 0.668
Tb4 0.550 0.648 0.332
Tb5 0.648 0.097 0.668
Tb6 0.903 0.550 0.668
Pr1 0.043 0.273 0.818
Pr2 0.230 0.957 0.818
Pr3 0.273 0.230 0.182
Pr4 0.333 0.667 0.855
Pr5 0.667 0.333 0.145
Pr6 0.727 0.770 0.818
Pr7 0.770 0.043 0.182
Pr8 0.957 0.727 0.182
Cd1 0.000 0.000 0.500

N(E_F) = 21.18 states/eV/cell
Formation energy from the elements = 134 kJ/mol of formula units



A relaxed structure of Tb3Pr12Cd. Source: Alexandria, functional GGA-PBE.

Cell: 5.140 5.140 20.775 Å, 90.00 90.00 90.00°
Fractional coordinates of all 16 atoms:
Tb1 0.000 0.000 0.000
Tb2 0.000 0.000 0.253
Tb3 0.000 0.000 0.747
Pr1 0.000 0.500 0.126
Pr2 0.000 0.500 0.379
Pr3 0.000 0.500 0.621
Pr4 0.000 0.500 0.874
Pr5 0.500 0.000 0.126
Pr6 0.500 0.000 0.379
Pr7 0.500 0.000 0.621
Pr8 0.500 0.000 0.874
Pr9 0.500 0.500 0.000
Pr10 0.500 0.500 0.254
Pr11 0.500 0.500 0.500
Pr12 0.500 0.500 0.746
Cd1 0.000 0.000 0.500

N(E_F) = 22.60 states/eV/cell
Formation energy from the elements = -21 kJ/mol of formula units



A relaxed structure of TbPr4Cd. Source: Alexandria, functional GGA-PBE.

Cell: 3.719 3.719 14.402 Å, 90.00 90.00 90.00°
Fractional coordinates of all 6 atoms:
Tb1 0.000 0.000 0.000
Pr1 0.000 0.000 0.354
Pr2 0.000 0.000 0.646
Pr3 0.500 0.500 0.174
Pr4 0.500 0.500 0.826
Cd1 0.500 0.500 0.500

N(E_F) = 7.68 states/eV/cell
Offset from the most stable computed form = 0.0 meV per atom
Formation energy from the elements = -55 kJ/mol of formula units



Q: What is the formula in the second record?
A: Tb6Pr8Cd



Q: formation energy from the elements of number 1 (Tb4PrCd2)?
A: 139 kJ/mol of formula units



Q: Which of these has the lowest N(E_F)?
A: TbPr4Cd